Record 1
{"formula": "Si2AgMo", "functional": "PBE", "state": "relaxed", "lattice": [[-0.3141, -2.0070, 4.3104], [4.3531, -1.4269, 1.3119], [-1.5643, 4.1984, -1.6226]], "species": ["Si", "Si", "Mo", "Ag"], "fractional_positions": [[0.5000, 0.5000, 0.0000], [0.0000, 0.0000, 0.0000], [0.7500, 0.2500, 0.5000], [0.2500, 0.7500, 0.5000]], "rho_g_cm3": 7.18, "de_polymorph_mev_per_atom": 169.7, "dos_ef_per_ev_fu": 2.30, "total_energy_ev_per_atom": -5.890, "crystal_system": "tetragonal", "formation_energy_uncorrected_mev_per_atom": 242}

Record 2
{"formula": "Si2AgMo2", "functional": "PBE", "state": "relaxed", "lattice": [[6.7026, 0.0000, 0.0000], [0.0000, 6.7026, 0.0000], [0.0000, 0.0000, 3.3248]], "species": ["Mo", "Ag", "Mo", "Si", "Mo", "Mo", "Si", "Si", "Ag", "Si"], "fractional_positions": [[0.3378, 0.1622, 0.5000], [0.5000, 0.5000, 0.0000], [0.6622, 0.8378, 0.5000], [0.6312, 0.1312, 0.0000], [0.8378, 0.3378, 0.5000], [0.1622, 0.6622, 0.5000], [0.1312, 0.3688, 0.0000], [0.3688, 0.8688, 0.0000], [0.0000, 0.0000, 0.0000], [0.8688, 0.6312, 0.0000]], "rho_g_cm3": 7.91, "de_polymorph_mev_per_atom": 0.0, "dos_ef_per_ev_fu": 4.72, "total_energy_ev_per_atom": -7.145, "crystal_system": "tetragonal", "formation_energy_uncorrected_mev_per_atom": -73}

Record 3
{"formula": "Si2AgMo", "functional": "PBE", "state": "relaxed", "lattice": [[5.1026, 0.0188, -0.0327], [4.3405, 2.6827, -0.0327], [0.5588, 0.1599, 4.4864]], "species": ["Si", "Mo", "Ag", "Si"], "fractional_positions": [[0.0082, 0.0082, 0.9599], [0.7440, 0.7440, 0.7893], [0.4938, 0.4938, 0.4660], [0.2541, 0.2541, 0.2848]], "rho_g_cm3": 7.07, "de_polymorph_mev_per_atom": 101.3, "dos_ef_per_ev_fu": 1.95, "total_energy_ev_per_atom": -5.959, "crystal_system": "monoclinic", "formation_energy_uncorrected_mev_per_atom": 173}

Record 4
{"formula": "Si2AgMo", "functional": "PBE", "state": "relaxed", "lattice": [[3.2273, 0.0000, 0.0000], [0.0000, 3.2273, 0.0000], [0.0000, 0.0000, 5.8924]], "species": ["Si", "Si", "Ag", "Mo"], "fractional_positions": [[0.0000, 0.0000, 0.5343], [0.0000, 0.0000, 0.9657], [0.5000, 0.5000, 0.2500], [0.5000, 0.5000, 0.7500]], "rho_g_cm3": 7.03, "de_polymorph_mev_per_atom": 7.0, "dos_ef_per_ev_fu": 2.61, "total_energy_ev_per_atom": -6.053, "crystal_system": "tetragonal", "formation_energy_uncorrected_mev_per_atom": 79}

Record 5
{"formula": "Si2AgMo", "functional": "PBE", "state": "relaxed", "lattice": [[2.7311, 0.0000, 0.0000], [0.0000, 2.7311, 0.0000], [0.0000, 0.0000, 8.3006]], "species": ["Ag", "Si", "Mo", "Si"], "fractional_positions": [[0.0000, 0.0000, 0.4966], [0.5000, 0.5000, 0.2382], [0.5000, 0.5000, 0.7705], [0.0000, 0.0000, 0.9947]], "rho_g_cm3": 6.97, "de_polymorph_mev_per_atom": 286.3, "dos_ef_per_ev_fu": 2.53, "total_energy_ev_per_atom": -5.774, "crystal_system": "tetragonal", "formation_energy_uncorrected_mev_per_atom": 358}

Record 6
{"formula": "Si2AgMo2", "functional": "PBE", "state": "relaxed", "lattice": [[-2.5708, -2.7427, -1.0709], [2.9221, -2.2025, -1.3742], [0.6856, -4.8817, 3.7230]], "species": ["Mo", "Ag", "Si", "Si", "Mo"], "fractional_positions": [[0.2500, 0.7500, 0.5000], [0.0000, 0.0000, 0.0000], [0.3966, 0.3966, 0.2067], [0.6034, 0.6034, 0.7933], [0.7500, 0.2500, 0.5000]], "rho_g_cm3": 7.00, "de_polymorph_mev_per_atom": 222.5, "dos_ef_per_ev_fu": 1.54, "total_energy_ev_per_atom": -6.923, "crystal_system": "tetragonal", "formation_energy_uncorrected_mev_per_atom": 149}

Record 7
{"formula": "Si2AgMo", "functional": "PBE", "state": "relaxed", "lattice": [[6.8281, 0.0000, 0.0000], [0.0000, 6.8281, 0.0000], [3.4141, 3.4141, 2.8725]], "species": ["Ag", "Mo", "Si", "Si", "Si", "Mo", "Ag", "Si"], "fractional_positions": [[0.0000, 0.0000, 0.0000], [0.2500, 0.7500, 0.5000], [0.6205, 0.1250, 0.2500], [0.8750, 0.8705, 0.7500], [0.3750, 0.3795, 0.7500], [0.5000, 0.5000, 0.0000], [0.7500, 0.2500, 0.5000], [0.1295, 0.6250, 0.2500]], "rho_g_cm3": 6.45, "de_polymorph_mev_per_atom": 546.7, "dos_ef_per_ev_fu": 3.77, "total_energy_ev_per_atom": -5.513, "crystal_system": "tetragonal", "formation_energy_uncorrected_mev_per_atom": 619}

Record 8
{"formula": "Si2AgMo", "functional": "PBE", "state": "relaxed", "lattice": [[-3.1112, 1.5631, 2.7055], [-2.8655, 3.0222, -1.4482], [-4.2246, -1.0926, -0.6336]], "species": ["Si", "Mo", "Si", "Ag"], "fractional_positions": [[0.2500, 0.2500, 0.2500], [0.0000, 0.0000, 0.0000], [0.7500, 0.7500, 0.7500], [0.5000, 0.5000, 0.5000]], "rho_g_cm3": 7.12, "de_polymorph_mev_per_atom": 300.0, "dos_ef_per_ev_fu": 3.56, "total_energy_ev_per_atom": -5.760, "crystal_system": "cubic", "formation_energy_uncorrected_mev_per_atom": 372}

Record 9
{"formula": "Si2AgMo", "functional": "PBE", "state": "relaxed", "lattice": [[2.7376, 0.0224, 0.0000], [-0.5356, 2.6848, 0.0000], [0.0000, 0.0000, 8.3982]], "species": ["Si", "Mo", "Si", "Ag"], "fractional_positions": [[0.0000, 0.0000, 0.0001], [0.5000, 0.5000, 0.7724], [0.5000, 0.5000, 0.2334], [0.0000, 0.0000, 0.4942]], "rho_g_cm3": 6.98, "de_polymorph_mev_per_atom": 277.0, "dos_ef_per_ev_fu": 2.12, "total_energy_ev_per_atom": -5.783, "crystal_system": "orthorhombic", "formation_energy_uncorrected_mev_per_atom": 349}

Record 10
{"formula": "Si2AgMo", "functional": "PBE", "state": "relaxed", "lattice": [[5.2800, 0.0229, -0.0151], [2.7145, 4.5288, 0.0151], [-3.7501, -2.7099, 2.5440]], "species": ["Ag", "Si", "Mo", "Si"], "fractional_positions": [[0.4951, 0.4951, 0.0000], [0.7631, 0.2631, 0.5000], [0.2270, 0.7270, 0.5000], [0.0148, 0.0148, 0.0000]], "rho_g_cm3": 7.11, "de_polymorph_mev_per_atom": 99.5, "dos_ef_per_ev_fu": 2.54, "total_energy_ev_per_atom": -5.960, "crystal_system": "orthorhombic", "formation_energy_uncorrected_mev_per_atom": 172}

Record 11
{"formula": "Si2AgMo", "functional": "PBE", "state": "relaxed", "lattice": [[-3.4578, 1.7958, 0.2506], [-1.0765, -2.2564, 1.3148], [1.4940, 2.1838, 4.9647]], "species": ["Mo", "Ag", "Si", "Si"], "fractional_positions": [[0.5000, 0.7500, 0.7500], [0.5000, 0.2500, 0.2500], [0.0000, 0.2499, 0.5371], [0.0000, 0.2501, 0.9629]], "rho_g_cm3": 6.96, "de_polymorph_mev_per_atom": 72.5, "dos_ef_per_ev_fu": 2.12, "total_energy_ev_per_atom": -5.987, "crystal_system": "orthorhombic", "formation_energy_uncorrected_mev_per_atom": 145}

Record 12
{"formula": "Si2AgMo", "functional": "PBE", "state": "relaxed", "lattice": [[-0.4525, -4.5182, -1.6885], [1.9398, -0.8573, 1.7743], [-3.2074, -0.8372, 3.0999]], "species": ["Ag", "Mo", "Si", "Si"], "fractional_positions": [[0.0000, 0.3752, 0.5018], [0.5000, 0.8750, 0.7522], [0.0000, 0.8761, 0.9996], [0.5000, 0.3737, 0.2464]], "rho_g_cm3": 7.10, "de_polymorph_mev_per_atom": 42.7, "dos_ef_per_ev_fu": 2.05, "total_energy_ev_per_atom": -6.017, "crystal_system": "orthorhombic", "formation_energy_uncorrected_mev_per_atom": 115}